! SCAN ScCo2Re, single point on PBEsol structure; values from VASP
&SYSTEM
  ibrav = 0, nat = 4, ntyp = 3
/
ATOMIC_SPECIES
Re 186.21 Re.upf
Sc 44.96 Sc.upf
Co 58.93 Co.upf
ATOMIC_POSITIONS crystal
Re 0.500 0.500 0.500
Sc 0.000 0.000 0.000
Co 0.753 0.753 0.742
Co 0.247 0.247 0.258
CELL_PARAMETERS angstrom
2.741 0.000 0.000
1.371 2.374 0.000
1.371 0.791 8.286
! formation energy from the elements	0.359	eV per atom
! distance to the lowest polymorph of the same formula	349	meV/atom



! SCAN Al2HgTe4, single point on PBEsol structure; values from VASP
&SYSTEM
  ibrav = 0, nat = 7, ntyp = 3
/
ATOMIC_SPECIES
Al 26.98 Al.upf
Te 127.60 Te.upf
Hg 200.59 Hg.upf
ATOMIC_POSITIONS crystal
Al 0.250 0.750 0.500
Al 0.500 0.500 0.000
Te 0.107 0.580 0.720
Te 0.420 0.388 0.280
Te 0.612 0.139 0.720
Te 0.861 0.893 0.280
Hg 0.000 0.000 0.000
CELL_PARAMETERS angstrom
6.118 0.000 0.000
0.000 6.118 0.000
-3.059 -3.059 5.900
! raw formation energy	-426	meV/atom



! SCAN NaIn3Ni, single point on PBEsol structure; values from VASP
&SYSTEM
  ibrav = 0, nat = 5, ntyp = 3
/
ATOMIC_SPECIES
In 114.82 In.upf
Ni 58.69 Ni.upf
Na 22.99 Na.upf
ATOMIC_POSITIONS crystal
In 0.500 0.000 0.000
In 0.000 0.000 0.500
In 0.000 0.500 0.000
Ni 0.000 0.000 0.000
Na 0.500 0.500 0.500
CELL_PARAMETERS angstrom
4.922 0.000 0.000
0.000 4.922 0.000
0.000 0.000 4.922
! formation energy from the elements	-0.136	eV per atom



! SCAN MgGe3Os, single point on PBEsol structure; values from VASP
&SYSTEM
  ibrav = 0, nat = 5, ntyp = 3
/
ATOMIC_SPECIES
Ge 72.64 Ge.upf
Mg 24.30 Mg.upf
Os 190.23 Os.upf
ATOMIC_POSITIONS crystal
Ge 0.500 0.000 0.000
Ge 0.000 0.000 0.500
Ge 0.000 0.500 0.000
Mg 0.000 0.000 0.000
Os 0.500 0.500 0.500
CELL_PARAMETERS angstrom
4.729 0.000 0.000
0.000 4.729 0.000
0.000 0.000 4.729
! formation energy from the elements	1.774	eV per atom



! SCAN Rb2TbGaSi4O12, single point on PBEsol structure; values from VASP
&SYSTEM
  ibrav = 0, nat = 80, ntyp = 5
/
ATOMIC_SPECIES
O 16.00 O.upf
Rb 85.47 Rb.upf
Si 28.09 Si.upf
Ga 69.72 Ga.upf
Tb 158.93 Tb.upf
ATOMIC_POSITIONS crystal
O 0.616 0.769 0.577
O 0.050 0.012 0.274
O 0.267 0.977 0.798
O 0.958 0.477 0.298
O 0.075 0.151 0.424
O 0.389 0.149 0.228
O 0.037 0.269 0.077
O 0.750 0.346 0.468
O 0.766 0.351 0.272
O 0.204 0.350 0.203
O 0.562 0.018 0.838
O 0.064 0.246 0.560
O 0.234 0.649 0.728
O 0.757 0.150 0.297
O 0.950 0.988 0.726
O 0.438 0.982 0.162
O 0.733 0.023 0.202
O 0.437 0.846 0.968
O 0.581 0.518 0.338
O 0.042 0.523 0.702
O 0.704 0.206 0.659
O 0.243 0.850 0.703
O 0.936 0.754 0.440
O 0.650 0.349 0.076
O 0.570 0.294 0.841
O 0.563 0.154 0.032
O 0.919 0.444 0.913
O 0.925 0.849 0.576
O 0.419 0.482 0.662
O 0.250 0.654 0.532
O 0.081 0.556 0.087
O 0.336 0.488 0.226
O 0.664 0.512 0.774
O 0.296 0.794 0.341
O 0.130 0.746 0.060
O 0.176 0.609 0.379
O 0.430 0.706 0.159
O 0.963 0.731 0.923
O 0.164 0.891 0.121
O 0.384 0.231 0.423
O 0.350 0.651 0.924
O 0.870 0.254 0.940
O 0.724 0.944 0.413
O 0.276 0.056 0.587
O 0.611 0.851 0.772
O 0.796 0.650 0.797
O 0.836 0.109 0.879
O 0.824 0.391 0.621
Rb 0.697 0.616 0.456
Rb 0.684 0.585 0.032
Rb 0.303 0.384 0.544
Rb 0.699 0.085 0.532
Rb 0.768 0.884 0.044
Rb 0.301 0.915 0.468
Rb 0.232 0.116 0.956
Rb 0.316 0.415 0.968
Si 0.187 0.970 0.703
Si 0.813 0.030 0.297
Si 0.522 0.079 0.161
Si 0.478 0.921 0.839
Si 0.836 0.297 0.579
Si 0.863 0.327 0.010
Si 0.137 0.673 0.990
Si 0.712 0.203 0.921
Si 0.200 0.173 0.490
Si 0.164 0.703 0.421
Si 0.800 0.827 0.510
Si 0.860 0.530 0.797
Si 0.238 0.579 0.661
Si 0.288 0.797 0.079
Si 0.140 0.470 0.203
Si 0.762 0.421 0.339
Ga 0.230 0.914 0.226
Ga 0.630 0.414 0.726
Ga 0.770 0.086 0.774
Ga 0.370 0.586 0.274
Tb 0.486 0.711 0.751
Tb 0.948 0.789 0.749
Tb 0.052 0.211 0.251
Tb 0.514 0.289 0.249
CELL_PARAMETERS angstrom
-6.614 -1.768 -2.426
-2.278 -12.899 4.734
-7.978 -0.883 11.519
! raw formation energy	-2973	meV/atom



! SCAN ZnOsSeBr2, single point on PBEsol structure; values from VASP
&SYSTEM
  ibrav = 0, nat = 5, ntyp = 4
/
ATOMIC_SPECIES
Os 190.23 Os.upf
Br 79.90 Br.upf
Zn 65.41 Zn.upf
Se 78.96 Se.upf
ATOMIC_POSITIONS crystal
Os 0.000 0.000 0.000
Br 0.000 0.000 0.500
Br 0.000 0.500 0.000
Zn 0.500 0.500 0.500
Se 0.500 0.000 0.000
CELL_PARAMETERS angstrom
4.617 0.000 0.000
0.000 5.149 0.000
0.000 0.000 5.149
! raw formation energy	511	meV/atom



Copy entry 2 word for word.
! SCAN Al2HgTe4, single point on PBEsol structure; values from VASP
&SYSTEM
  ibrav = 0, nat = 7, ntyp = 3
/
ATOMIC_SPECIES
Al 26.98 Al.upf
Te 127.60 Te.upf
Hg 200.59 Hg.upf
ATOMIC_POSITIONS crystal
Al 0.250 0.750 0.500
Al 0.500 0.500 0.000
Te 0.107 0.580 0.720
Te 0.420 0.388 0.280
Te 0.612 0.139 0.720
Te 0.861 0.893 0.280
Hg 0.000 0.000 0.000
CELL_PARAMETERS angstrom
6.118 0.000 0.000
0.000 6.118 0.000
-3.059 -3.059 5.900
! raw formation energy	-426	meV/atom